# 1
An optimized crystal structure of LiTmScTl, computed with PBE.

Structure (CIF):
```
data_LiTmScTl
_cell_length_a 5.098
_cell_length_b 5.098
_cell_length_c 5.098
_cell_angle_alpha 60.00
_cell_angle_beta 60.00
_cell_angle_gamma 60.00
_symmetry_space_group_name_H-M 'P 1'
_symmetry_Int_Tables_number 1
_symmetry_space_group_name_Hall 'P 1'
loop_
_atom_site_label
_atom_site_fract_x
_atom_site_fract_y
_atom_site_fract_z
Li1 0.000 0.000 0.000
Sc1 0.250 0.250 0.250
Tl1 0.500 0.500 0.500
Tm1 0.750 0.750 0.750
```

Calculated values
calculated formation energy	-166.6	meV per atom
E_tot	-15.75	eV/cell
symmetry	No. 216

# 2
An optimized crystal structure of Li2TmSc2Tl2, computed with PBE.

Structure (CIF):
```
data_Li2TmSc2Tl2
_cell_length_a 4.699
_cell_length_b 4.699
_cell_length_c 8.880
_cell_angle_alpha 74.66
_cell_angle_beta 74.66
_cell_angle_gamma 60.00
_symmetry_space_group_name_H-M 'P 1'
_symmetry_Int_Tables_number 1
_symmetry_space_group_name_Hall 'P 1'
loop_
_atom_site_label
_atom_site_fract_x
_atom_site_fract_y
_atom_site_fract_z
Sc1 0.131 0.131 0.608
Sc2 0.869 0.869 0.392
Li1 0.590 0.590 0.229
Li2 0.410 0.410 0.771
Tl1 0.743 0.743 0.772
Tl2 0.257 0.257 0.228
Tm1 0.000 0.000 0.000
```

Calculated values
calculated formation energy	-151.4	meV per atom
E_tot	-26.75	eV/cell
symmetry	No. 166

# 3
An optimized crystal structure of LiTmSc2, computed with PBE.

Structure (CIF):
```
data_LiTmSc2
_cell_length_a 3.313
_cell_length_b 3.313
_cell_length_c 10.746
_cell_angle_alpha 81.13
_cell_angle_beta 81.13
_cell_angle_gamma 60.00
_symmetry_space_group_name_H-M 'P 1'
_symmetry_Int_Tables_number 1
_symmetry_space_group_name_Hall 'P 1'
loop_
_atom_site_label
_atom_site_fract_x
_atom_site_fract_y
_atom_site_fract_z
Sc1 0.247 0.247 0.258
Sc2 0.086 0.086 0.743
Tm1 0.666 0.666 0.001
Li1 0.500 0.500 0.499
```

Calculated values
calculated formation energy	137.6	meV per atom
offset from the most stable computed form	0.023	eV/atom
E_tot	-18.50	eV/cell
symmetry	No. 160

# 4
An optimized crystal structure of LiTmSc2, computed with PBE.

Structure (CIF):
```
data_LiTmSc2
_cell_length_a 3.407
_cell_length_b 3.407
_cell_length_c 8.329
_cell_angle_alpha 90.00
_cell_angle_beta 90.00
_cell_angle_gamma 90.00
_symmetry_space_group_name_H-M 'P 1'
_symmetry_Int_Tables_number 1
_symmetry_space_group_name_Hall 'P 1'
loop_
_atom_site_label
_atom_site_fract_x
_atom_site_fract_y
_atom_site_fract_z
Tm1 0.500 0.500 0.500
Sc1 0.000 0.000 0.781
Sc2 0.000 0.000 0.219
Li1 0.500 0.500 0.000
```

Calculated values
calculated formation energy	114.8	meV per atom
offset from the most stable computed form	0.000	eV/atom
E_tot	-18.59	eV/cell
symmetry	No. 123

Copy entry 1 word for word.
An optimized crystal structure of LiTmScTl, computed with PBE.

Structure (CIF):
```
data_LiTmScTl
_cell_length_a 5.098
_cell_length_b 5.098
_cell_length_c 5.098
_cell_angle_alpha 60.00
_cell_angle_beta 60.00
_cell_angle_gamma 60.00
_symmetry_space_group_name_H-M 'P 1'
_symmetry_Int_Tables_number 1
_symmetry_space_group_name_Hall 'P 1'
loop_
_atom_site_label
_atom_site_fract_x
_atom_site_fract_y
_atom_site_fract_z
Li1 0.000 0.000 0.000
Sc1 0.250 0.250 0.250
Tl1 0.500 0.500 0.500
Tm1 0.750 0.750 0.750
```

Calculated values
calculated formation energy	-166.6	meV per atom
E_tot	-15.75	eV/cell
symmetry	No. 216